A plane-wave DFT calculation with PBE was carried out for a relaxed Ac2OsBr crystal.

a b c (Å): 4.3649 4.3649 24.3887
angles (deg): 90.00 90.00 120.00
Space group R-3m (No. 166, hexagonal axes)
Asymmetric unit:
Ac  0.0000  0.0000  0.2312 (multiplicity 6)
Os  0.0000  0.0000  0.5000 (multiplicity 3)
Br  0.0000  0.0000  0.0000 (multiplicity 3)

Results
As for the total moment: 0.00 μB per formula unit. The total energy is -5.965 eV per atom. As for the crystal system: trigonal.



A plane-wave DFT calculation with PBE was carried out for a relaxed AcYIO6 crystal.

a b c (Å): 5.6998 5.6998 5.2713
angles (deg): 90.00 90.00 120.00
Space group P312 (No. 149)
Asymmetric unit:
Ac  0.0000  0.0000  0.0000 (multiplicity 1)
Y  0.3333  0.6667  0.5000 (multiplicity 1)
I  0.6667  0.3333  0.5000 (multiplicity 1)
O  0.3788  0.0333  0.7154 (multiplicity 6)

Results
As for the total moment: 0.78 μB per formula unit. The total energy is -6.713 eV per atom. As for the crystal system: trigonal.



A plane-wave DFT calculation with PBE was carried out for a relaxed RbMgS2N crystal.

a b c (Å): 5.759 5.759 4.966
angles (deg): 90.00 90.00 90.00
Space group P4/mmm (No. 123)
Asymmetric unit:
Rb  0.000  0.000  0.000 (multiplicity 1)
Mg  0.500  0.500  0.500 (multiplicity 1)
S  0.000  0.500  0.000 (multiplicity 2)
N  0.000  0.000  0.500 (multiplicity 1)

Results
As for the total moment: 4.06 μB per formula unit. The total energy is -2.370 eV per atom. As for the crystal system: tetragonal.



A plane-wave DFT calculation with PBE was carried out for a relaxed Ce3Th5S8 crystal.

a b c (Å): 8.0596 8.0596 19.8116
angles (deg): 90.00 90.00 120.00
Space group R-3m (No. 166, hexagonal axes)
Asymmetric unit:
Ce  0.0000  0.5000  0.0000 (multiplicity 9)
Th  0.0000  0.0000  0.0000 (multiplicity 3)
Th  0.0000  0.0000  0.5000 (multiplicity 3)
Th  0.0000  0.5000  0.5000 (multiplicity 9)
S  0.0000  0.0000  0.2510 (multiplicity 6)
S  0.0015  0.5007  0.2507 (multiplicity 18)

Results
As for the total moment: 1.95 μB per formula unit. The total energy is -7.418 eV per atom. As for the crystal system: trigonal.